16
Lattice="9.367 -3.694 0.000 9.367 3.694 0.000 -1.014 0.000 6.868" Properties=species:S:1:pos:R:3 comment="KNbPSe5 | OQMD via LeMat-Bulk | PBE | relaxed" e_tot_ev_per_atom=-4.893 pbc="T T T"
K 4.161 0.000 1.587
K 13.560 0.000 5.281
Nb 9.367 2.221 0.000
Nb 9.367 -2.221 0.000
P 6.022 0.000 5.461
P 11.699 0.000 1.407
Se 0.448 0.000 5.476
Se 7.078 1.792 4.615
Se 3.871 0.000 5.104
Se 10.643 1.792 2.252
Se 7.686 0.000 0.746
Se 10.035 0.000 6.121
Se 7.078 -1.792 4.615
Se 13.849 0.000 1.763
Se 10.643 -1.792 2.252
Se 17.273 0.000 1.391

=====

3
Lattice="0.000 3.677 3.677 3.677 0.000 3.677 3.677 3.677 0.000" Properties=species:S:1:pos:R:3 comment="KNbPb | OQMD via LeMat-Bulk | PBE | relaxed" e_tot_ev_per_atom=-3.842 pbc="T T T"
K 0.000 0.000 0.000
Nb 3.677 3.677 3.677
Pb 1.839 1.839 1.839

=====

9
Lattice="5.787 0.000 0.000 -2.894 5.012 0.000 0.000 0.000 9.374" Properties=species:S:1:pos:R:3 comment="KNb3Pb5 | OQMD via LeMat-Bulk | PBE | relaxed" e_tot_ev_per_atom=-5.440 pbc="T T T"
K 0.000 0.000 0.000
Nb -1.447 2.506 4.687
Nb 2.894 0.000 4.687
Nb 1.447 2.506 4.687
Pb 0.000 0.000 4.687
Pb 0.000 3.341 2.075
Pb 0.000 3.341 7.300
Pb 2.894 1.671 2.075
Pb 2.894 1.671 7.300

=====

3
Lattice="0.000 3.719 3.719 3.719 0.000 3.719 3.719 3.719 0.000" Properties=species:S:1:pos:R:3 comment="KNbPb | OQMD via LeMat-Bulk | PBE | relaxed" e_tot_ev_per_atom=-3.240 pbc="T T T"
K 0.000 0.000 0.000
Nb 5.578 5.578 5.578
Pb 1.859 1.859 1.859

=====

3
Lattice="0.000 3.475 3.475 3.475 0.000 3.475 3.475 3.475 0.000" Properties=species:S:1:pos:R:3 comment="KNbPd | OQMD via LeMat-Bulk | PBE | relaxed" e_tot_ev_per_atom=-3.521 pbc="T T T"
K 0.000 0.000 0.000
Nb 5.213 5.213 5.213
Pd 1.738 1.738 1.738

=====

7
Lattice="2.245 1.296 10.340 -2.245 1.296 10.340 0.000 -2.592 10.340" Properties=species:S:1:pos:R:3 comment="K2Nb2Pd3 | OQMD via LeMat-Bulk | PBE | relaxed" e_tot_ev_per_atom=-5.169 pbc="T T T"
K 0.000 0.000 0.000
K 0.000 0.000 12.727
Nb 0.000 0.000 5.649
Nb 0.000 0.000 18.154
Pd 0.000 0.000 8.255
Pd 0.000 0.000 15.698
Pd 0.000 0.000 25.127

=====

10
Lattice="0.000 7.292 3.558 4.794 0.000 3.558 4.794 7.292 0.000" Properties=species:S:1:pos:R:3 comment="K2NbPd2 | OQMD via LeMat-Bulk | PBE | relaxed" e_tot_ev_per_atom=-4.014 pbc="T T T"
K 5.199 5.693 3.558
K 4.389 8.891 3.558
K 6.786 9.339 5.337
K 7.596 12.537 5.337
Nb 4.794 7.292 0.268
Nb 2.397 3.646 2.047
Pd 1.948 1.093 1.716
Pd 4.345 2.553 3.494
Pd 2.846 6.199 1.716
Pd 5.243 12.031 3.494

=====

3
Lattice="0.000 3.364 3.364 3.364 0.000 3.364 3.364 3.364 0.000" Properties=species:S:1:pos:R:3 comment="KNbPd | OQMD via LeMat-Bulk | PBE | relaxed" e_tot_ev_per_atom=-4.245 pbc="T T T"
K 0.000 0.000 0.000
Nb 3.364 3.364 3.364
Pd 1.682 1.682 1.682

=====

12
Lattice="7.930 0.000 0.000 0.000 3.641 0.000 -3.681 0.000 8.985" Properties=species:S:1:pos:R:3 comment="KNbPdS3 | OQMD via LeMat-Bulk | PBE | relaxed" e_tot_ev_per_atom=-5.733 pbc="T T T"
K 1.085 0.910 1.919
K 3.163 2.731 7.066
Nb -0.850 2.731 6.000
Nb 5.098 0.910 2.985
Pd 0.069 0.910 7.910
Pd 4.179 2.731 1.075
S -1.041 2.731 3.406
S -1.527 2.731 8.328
S 0.841 0.910 5.659
S 3.408 2.731 3.326
S 5.775 0.910 0.656
S 5.290 0.910 5.578

=====

12
Lattice="1.909 -8.318 0.000 1.909 8.318 0.000 0.000 0.000 10.628" Properties=species:S:1:pos:R:3 comment="KNbTe3Pd | OQMD via LeMat-Bulk | PBE | relaxed" e_tot_ev_per_atom=-4.845 pbc="T T T"
K 1.909 4.321 7.971
K 1.909 -4.321 2.657
Nb 0.000 0.000 0.000
Nb 0.000 0.000 5.314
Te 1.909 7.069 2.657
Te 1.909 2.057 0.451
Te 1.909 2.057 4.863
Te 1.909 -2.057 5.765
Te 1.909 -2.057 10.177
Te 1.909 -7.069 7.971
Pd 1.909 0.616 2.657
Pd 1.909 -0.616 7.971

=====

12
Lattice="8.873 0.000 0.000 0.000 3.932 0.000 -4.376 0.000 9.855" Properties=species:S:1:pos:R:3 comment="KNbTe3Pd | OQMD via LeMat-Bulk | PBE | relaxed" e_tot_ev_per_atom=-4.921 pbc="T T T"
K -1.126 0.983 2.871
K 5.623 2.949 6.984
Nb 3.324 0.983 1.777
Nb 1.172 2.949 8.078
Te 1.364 2.949 1.347
Te 0.235 2.949 5.522
Te -0.891 0.983 8.698
Te 5.388 2.949 1.157
Te 4.262 0.983 4.333
Te 3.133 0.983 8.508
Pd 2.439 2.949 3.804
Pd 2.058 0.983 6.051

=====

3
Lattice="0.000 3.898 3.898 3.898 0.000 3.898 3.898 3.898 0.000" Properties=species:S:1:pos:R:3 comment="KPmNb | OQMD via LeMat-Bulk | PBE | relaxed" e_tot_ev_per_atom=-3.737 pbc="T T T"
K 0.000 0.000 0.000
Pm 3.898 3.898 3.898
Nb 1.949 1.949 1.949

=====

3
Lattice="0.000 3.326 3.326 3.326 0.000 3.326 3.326 3.326 0.000" Properties=species:S:1:pos:R:3 comment="KNbPt | OQMD via LeMat-Bulk | PBE | relaxed" e_tot_ev_per_atom=-4.795 pbc="T T T"
K 0.000 0.000 0.000
Nb 3.326 3.326 3.326
Pt 1.663 1.663 1.663

=====

3
Lattice="0.000 3.420 3.420 3.420 0.000 3.420 3.420 3.420 0.000" Properties=species:S:1:pos:R:3 comment="KNbPt | OQMD via LeMat-Bulk | PBE | relaxed" e_tot_ev_per_atom=-3.848 pbc="T T T"
K 0.000 0.000 0.000
Nb 5.130 5.130 5.130
Pt 1.710 1.710 1.710

=====

12
Lattice="7.925 0.000 0.000 0.000 3.643 0.000 -3.784 0.000 8.939" Properties=species:S:1:pos:R:3 comment="KNbPtS3 | OQMD via LeMat-Bulk | PBE | relaxed" e_tot_ev_per_atom=-5.811 pbc="T T T"
K 1.064 0.911 1.912
K 3.077 2.733 7.027
Nb -0.916 2.733 5.968
Nb 5.057 0.911 2.971
Pt 0.020 0.911 7.838
Pt 4.122 2.733 1.101
S -1.068 2.733 3.376
S -1.630 2.733 8.319
S 0.799 0.911 5.628
S 3.343 2.733 3.311
S 5.771 0.911 0.620
S 5.209 0.911 5.563

=====

12
Lattice="8.308 0.000 0.000 0.000 3.754 0.000 -4.153 0.000 9.263" Properties=species:S:1:pos:R:3 comment="KNbPtSe3 | OQMD via LeMat-Bulk | PBE | relaxed" e_tot_ev_per_atom=-5.412 pbc="T T T"
K -1.004 0.938 2.656
K 5.158 2.815 6.607
Nb 3.126 0.938 1.621
Nb 1.029 2.815 7.642
Pt 2.181 2.815 3.510
Pt 1.974 0.938 5.753
Se 1.315 2.815 1.189
Se 0.170 2.815 5.220
Se -0.888 0.938 8.136
Se 5.042 2.815 1.127
Se 3.984 0.938 4.043
Se 2.839 0.938 8.074

=====

12
Lattice="8.940 0.000 0.000 0.000 3.967 0.000 -4.291 0.000 9.798" Properties=species:S:1:pos:R:3 comment="KNbTe3Pt | OQMD via LeMat-Bulk | PBE | relaxed" e_tot_ev_per_atom=-5.031 pbc="T T T"
K -1.111 0.992 2.823
K 5.761 2.975 6.975
Nb 3.359 0.992 1.786
Nb 1.291 2.975 8.012
Te 1.396 2.975 1.353
Te 0.330 2.975 5.455
Te -0.777 0.992 8.641
Te 5.426 2.975 1.157
Te 4.319 0.992 4.343
Te 3.253 0.992 8.445
Pt 2.534 2.975 3.763
Pt 2.116 0.992 6.035

=====

6
Lattice="6.115 0.000 0.000 0.000 6.115 0.000 0.000 0.000 9.838" Properties=species:S:1:pos:R:3 comment="K3Rb2Nb | OQMD via LeMat-Bulk | PBE | relaxed" e_tot_ev_per_atom=-1.762 pbc="T T T"
K 0.000 0.000 0.000
K 0.000 3.057 7.335
K 3.057 0.000 2.503
Rb 0.000 3.057 2.837
Rb 3.057 0.000 7.001
Nb 3.057 3.057 0.000

=====

8
Lattice="-4.317 4.317 4.463 4.317 -4.317 4.463 4.317 4.317 -4.463" Properties=species:S:1:pos:R:3 comment="K2RbNbTe4 | OQMD via LeMat-Bulk | PBE | relaxed" e_tot_ev_per_atom=-4.010 pbc="T T T"
K 4.317 0.000 0.000
K 0.000 4.317 0.000
Rb 0.000 0.000 0.000
Nb 0.000 0.000 4.463
Te 2.788 2.788 -1.529
Te 1.529 -1.529 5.992
Te 1.529 1.529 2.934
Te -1.529 1.529 5.992

=====

3
Lattice="0.000 3.246 3.246 3.246 0.000 3.246 3.246 3.246 0.000" Properties=species:S:1:pos:R:3 comment="KNbRe | OQMD via LeMat-Bulk | PBE | relaxed" e_tot_ev_per_atom=-6.031 pbc="T T T"
K 0.000 0.000 0.000
Nb 3.246 3.246 3.246
Re 1.623 1.623 1.623